No. 1
Density functional theory data (PBE) for a relaxed structure of CuTeSe2N.

a b c (Å): 5.3946 5.3946 3.8973
angles (deg): 90.00 90.00 90.00
Fractional coordinates of all 5 atoms:
Te 0.0000 0.0000 0.0000
Cu 0.5000 0.5000 0.5000
Se 0.0000 0.5000 0.0000
Se 0.5000 0.0000 0.0000
N 0.0000 0.0000 0.5000

Computed properties:
The value obtained for the total energy is -3.34 eV per atom. The space group is P4/mmm (123). For the total magnetization, the calculation gives 0.00 μB/f.u. The energy above the most stable polymorph in this dataset comes out at 0.3717 eV/atom. The calculation puts the formation energy from raw total energies at 1162.2 meV/atom.



No. 2
Density functional theory data (PBE) for a relaxed structure of TlCoPt.

a b c (Å): 4.2805 4.2805 4.2805
angles (deg): 60.00 60.00 60.00
Fractional coordinates of all 3 atoms:
Co 0.2500 0.2500 0.2500
Pt 0.0000 0.0000 0.0000
Tl 0.5000 0.5000 0.5000

Computed properties:
The value obtained for the total energy is -4.84 eV per atom. The space group is F-43m (216). For the total magnetization, the calculation gives 1.60 μB/f.u. The formation energy comes out at 0.336 eV/atom. The energy above the most stable polymorph in this dataset comes out at 0.0529 eV/atom.



No. 3
Density functional theory data (PBE) for a relaxed structure of EuScZn2.

a b c (Å): 3.5274 3.5274 7.1585
angles (deg): 90.00 90.00 90.00
Fractional coordinates of all 4 atoms:
Eu 0.5000 0.5000 0.5000
Sc 0.5000 0.5000 0.0000
Zn 0.0000 0.0000 0.7964
Zn 0.0000 0.0000 0.2036

Computed properties:
The value obtained for the total energy is -5.08 eV per atom. The space group is P4/mmm (123). For the total magnetization, the calculation gives 7.17 μB/f.u. The formation energy comes out at -0.287 eV/atom. The energy above the most stable polymorph in this dataset comes out at 0.0000 eV/atom.



no.,V (Å³/f.u.)
1,113.4
2,55.5
3,89.1